Entry 1:
The following is a PBE calculation of an optimized crystal structure of Dy3Er8Pu, from the Alexandria database.

Unit cell a=9.3297 b=9.3297 c=9.3297 alpha=132.18 beta=132.18 gamma=69.94
Last column: nearest neighbours and their distance in Å.
Fractional coordinates of all 12 atoms:
Dy1 0.0000 0.0000 0.0000  8 Er 3.30
Dy2 0.2500 0.7500 0.5000  8 Er 3.32
Dy3 0.7500 0.2500 0.5000  8 Er 3.32
Er1 0.1342 0.1342 0.5106  1 Pu 3.21, 3 Dy 3.30-3.32
Er2 0.1342 0.6236 0.0000  1 Pu 3.21, 3 Dy 3.30-3.32
Er3 0.3764 0.3764 0.5106  1 Pu 3.21, 3 Dy 3.30-3.32
Er4 0.3764 0.8658 0.0000  1 Pu 3.21, 3 Dy 3.30-3.32
Er5 0.6236 0.1342 0.0000  1 Pu 3.21, 3 Dy 3.30-3.32
Er6 0.6236 0.6236 0.4894  1 Pu 3.21, 3 Dy 3.30-3.32
Er7 0.8658 0.3764 0.0000  1 Pu 3.21, 3 Dy 3.30-3.32
Er8 0.8658 0.8658 0.4894  1 Pu 3.21, 3 Dy 3.30-3.32
Pu1 0.5000 0.5000 0.0000  8 Er 3.21

Values from the calculation:
Energy relative to the elements, kJ/mol of formula units: 867

=====

Entry 2:
The following is a PBE calculation of an optimized crystal structure of AcHoAg2Pb2, from the Alexandria database.

Unit cell a=4.9121 b=4.9121 c=7.9191 alpha=90.00 beta=90.00 gamma=120.00
Last column: nearest neighbours and their distance in Å.
Fractional coordinates of all 6 atoms:
Ac1 0.0000 0.0000 0.0000  6 Pb 3.49, 6 Ag 3.84
Ho1 0.0000 0.0000 0.5000  6 Ag 3.15, 6 Pb 3.42
Ag1 0.3333 0.6667 0.6726  3 Pb 2.89, 3 Ho 3.15
Ag2 0.6667 0.3333 0.3274  3 Pb 2.89, 3 Ho 3.15
Pb1 0.3333 0.6667 0.2579  3 Ag 2.89
Pb2 0.6667 0.3333 0.7421  3 Ag 2.89

Values from the calculation:
Energy relative to the elements, kJ/mol of formula units: -240

=====

Entry 3:
The following is a PBE calculation of an optimized crystal structure of Mg5In6Pb, from the Alexandria database.

Unit cell a=8.6237 b=8.6237 c=4.6841 alpha=105.65 beta=105.65 gamma=108.15
Last column: nearest neighbours and their distance in Å.
Fractional coordinates of all 12 atoms:
Mg1 0.0000 0.0000 0.0000  8 In 3.12-3.21, 4 Mg 3.37
Mg2 0.1735 0.8265 0.5000  8 In 3.18-3.20, 4 Mg 3.28-3.37
Mg3 0.3376 0.6624 0.0000  8 In 3.18-3.32, 2 Pb 3.26, 2 Mg 3.28
Mg4 0.6624 0.3376 0.0000  8 In 3.18-3.32, 2 Pb 3.26, 2 Mg 3.28
Mg5 0.8265 0.1735 0.5000  8 In 3.18-3.20, 4 Mg 3.28-3.37
In1 0.0698 0.4105 0.2406  7 Mg 3.18-3.31, 4 In 3.23-3.34, 1 Pb 3.33
In2 0.2298 0.2298 0.7294  6 Mg 3.12-3.32, 4 In 3.34, 2 Pb 3.37-3.38
In3 0.4105 0.0698 0.2406  7 Mg 3.18-3.31, 4 In 3.23-3.34, 1 Pb 3.33
In4 0.5895 0.9302 0.7594  7 Mg 3.18-3.31, 4 In 3.23-3.34, 1 Pb 3.33
In5 0.7702 0.7702 0.2706  6 Mg 3.12-3.32, 4 In 3.34, 2 Pb 3.37-3.38
In6 0.9302 0.5895 0.7594  7 Mg 3.18-3.31, 4 In 3.23-3.34, 1 Pb 3.33
Pb1 0.5000 0.5000 0.5000  4 Mg 3.26, 8 In 3.33-3.38

Values from the calculation:
Energy relative to the elements, kJ/mol of formula units: -70

=====

Entry 4:
The following is a PBE calculation of an optimized crystal structure of CeTeCl, from the Alexandria database.

Unit cell a=5.2255 b=5.3086 c=7.5096 alpha=90.00 beta=110.10 gamma=90.00
Last column: nearest neighbours and their distance in Å.
Fractional coordinates of all 6 atoms:
Ce1 0.2494 0.2500 0.4988  4 Cl 3.01-3.05, 4 Te 3.23-3.25
Ce2 0.7506 0.7500 0.5012  4 Cl 3.01-3.05, 4 Te 3.23-3.25
Te1 0.1176 0.7500 0.2318  4 Ce 3.23-3.25, 1 Cl 3.39
Te2 0.8824 0.2500 0.7682  4 Ce 3.23-3.25, 1 Cl 3.39
Cl1 0.3547 0.7500 0.7120  4 Ce 3.01-3.05
Cl2 0.6453 0.2500 0.2880  4 Ce 3.01-3.05

Values from the calculation:
Formation energy from raw total energies, meV per atom: -1502.9
ΔE to the lowest computed polymorph, meV/atom: 241

=====

Entry 5:
The following is a PBE calculation of an optimized crystal structure of NdHo2Tm6Sc3, from the Alexandria database.

Unit cell a=5.9979 b=5.9979 c=11.4053 alpha=95.02 beta=95.02 gamma=119.97
Last column: nearest neighbours and their distance in Å.
Fractional coordinates of all 12 atoms:
Nd1 0.0000 0.0000 0.0000  6 Ho 3.46, 6 Tm 3.54
Ho1 0.3334 0.6666 0.0000  3 Ho 3.46, 3 Nd 3.46, 6 Tm 3.53-3.54
Ho2 0.6666 0.3334 0.0000  3 Ho 3.46, 3 Nd 3.46, 6 Tm 3.53-3.54
Tm1 0.0868 0.4206 0.2597  3 Sc 3.36, 6 Tm 3.46-3.47, 2 Ho 3.53-3.54, 1 Nd 3.54
Tm2 0.2470 0.2470 0.7402  3 Sc 3.36, 6 Tm 3.46-3.47, 2 Ho 3.54, 1 Nd 3.54
Tm3 0.4206 0.0868 0.2597  3 Sc 3.36, 6 Tm 3.46-3.47, 2 Ho 3.53-3.54, 1 Nd 3.54
Tm4 0.5794 0.9132 0.7403  3 Sc 3.36, 6 Tm 3.46-3.47, 2 Ho 3.53-3.54, 1 Nd 3.54
Tm5 0.7530 0.7530 0.2598  3 Sc 3.36, 6 Tm 3.46-3.47, 2 Ho 3.54, 1 Nd 3.54
Tm6 0.9132 0.5794 0.7403  3 Sc 3.36, 6 Tm 3.46-3.47, 2 Ho 3.53-3.54, 1 Nd 3.54
Sc1 0.1668 0.8332 0.5000  6 Tm 3.36, 6 Sc 3.46-3.47
Sc2 0.5000 0.5000 0.5000  6 Tm 3.36, 6 Sc 3.46
Sc3 0.8332 0.1668 0.5000  6 Tm 3.36, 6 Sc 3.46-3.47

Values from the calculation:
Energy relative to the elements, kJ/mol of formula units: 52

=====

Entry 6:
The following is a PBE calculation of an optimized crystal structure of Ce2CuSn, from the Alexandria database.

Unit cell a=11.2764 b=11.2764 c=11.2764 alpha=16.37 beta=16.37 gamma=16.37
Last column: nearest neighbours and their distance in Å.
Fractional coordinates of all 4 atoms:
Ce1 0.0974 0.0974 0.0974  3 Cu 2.96, 6 Ce 3.21, 1 Sn 3.25
Ce2 0.9026 0.9026 0.9026  3 Cu 2.96, 6 Ce 3.21, 1 Sn 3.25
Cu1 0.5000 0.5000 0.5000  6 Ce 2.96, 6 Cu 3.21
Sn1 0.0000 0.0000 0.0000  6 Sn 3.21, 2 Ce 3.25

Values from the calculation:
Energy relative to the elements, kJ/mol of formula units: 62

=====

Entry 7:
The following is a PBE calculation of an optimized crystal structure of Er2Al2CdPd5, from the Alexandria database.

Unit cell a=9.9630 b=9.9630 c=3.6796 alpha=90.00 beta=90.00 gamma=90.00
Last column: nearest neighbours and their distance in Å.
Fractional coordinates of all 20 atoms:
Er1 0.1784 0.3216 0.0000  3 Al 2.86-3.02, 6 Pd 3.11-3.16
Er2 0.3216 0.8216 0.0000  3 Al 2.86-3.02, 6 Pd 3.11-3.16
Er3 0.6784 0.1784 0.0000  3 Al 2.86-3.02, 6 Pd 3.11-3.16
Er4 0.8216 0.6784 0.0000  3 Al 2.86-3.02, 6 Pd 3.11-3.16
Al1 0.1189 0.6189 0.0000  6 Pd 2.49-2.54
Al2 0.3811 0.1189 0.0000  6 Pd 2.49-2.54
Al3 0.6189 0.8811 0.0000  6 Pd 2.49-2.54
Al4 0.8811 0.3811 0.0000  6 Pd 2.49-2.54
Cd1 0.0000 0.0000 0.0000  8 Pd 2.89
Cd2 0.5000 0.5000 0.0000  8 Pd 2.89
Pd1 0.0000 0.5000 0.5000  4 Al 2.49
Pd2 0.0667 0.7865 0.5000  2 Al 2.54
Pd3 0.2135 0.0667 0.5000  2 Al 2.54
Pd4 0.2865 0.5667 0.5000  2 Al 2.54
Pd5 0.4333 0.2865 0.5000  2 Al 2.54
Pd6 0.5000 0.0000 0.5000  4 Al 2.49
Pd7 0.5667 0.7135 0.5000  2 Al 2.54
Pd8 0.7135 0.4333 0.5000  2 Al 2.54
Pd9 0.7865 0.9333 0.5000  2 Al 2.54
Pd10 0.9333 0.2135 0.5000  2 Al 2.54

Values from the calculation:
Energy relative to the elements, kJ/mol of formula units: -719

=====

Entry 8:
The following is a PBE calculation of an optimized crystal structure of Li4Ga5Hg, from the Alexandria database.

Unit cell a=6.9843 b=6.9843 c=9.1300 alpha=124.85 beta=124.85 gamma=33.28
Last column: nearest neighbours and their distance in Å.
Fractional coordinates of all 10 atoms:
Li1 0.0992 0.0992 0.3284  3 Ga 2.82-2.96
Li2 0.3560 0.3560 0.1303  4 Ga 2.57-2.81, 1 Hg 2.71
Li3 0.6440 0.6440 0.8697  4 Ga 2.57-2.81, 1 Hg 2.71
Li4 0.9008 0.9008 0.6716  3 Ga 2.82-2.96
Ga1 0.1354 0.1354 0.0460  4 Ga 2.56-2.72, 3 Li 2.57-2.61
Ga2 0.2293 0.2293 0.7105  3 Ga 2.72-2.95, 1 Li 2.82
Ga3 0.5000 0.5000 0.0000  4 Ga 2.56, 2 Li 2.81
Ga4 0.7707 0.7707 0.2895  3 Ga 2.72-2.95, 1 Li 2.82
Ga5 0.8646 0.8646 0.9540  4 Ga 2.56-2.72, 3 Li 2.57-2.61
Hg1 0.5000 0.5000 0.5000  2 Li 2.71

Values from the calculation:
Energy relative to the elements, kJ/mol of formula units: -139

=====

Entry 9:
The following is a PBE calculation of an optimized crystal structure of TaBi3W, from the Alexandria database.

Unit cell a=5.4598 b=5.4598 c=5.4598 alpha=90.00 beta=90.00 gamma=90.00
Last column: nearest neighbours and their distance in Å.
Fractional coordinates of all 5 atoms:
Ta1 0.0000 0.0000 0.0000  6 Bi 2.73
Bi1 0.0000 0.0000 0.5000  2 Ta 2.73
Bi2 0.0000 0.5000 0.0000  2 Ta 2.73
Bi3 0.5000 0.0000 0.0000  2 Ta 2.73
W1 0.5000 0.5000 0.5000  12 Bi 3.86

Values from the calculation:
ΔE to the lowest computed polymorph, meV/atom: 0
Energy relative to the elements, kJ/mol of formula units: 788

=====

Entry 10:
The following is a PBE calculation of an optimized crystal structure of BaBeAu4, from the Alexandria database.

Unit cell a=6.5951 b=6.5951 c=7.0486 alpha=90.10 beta=90.10 gamma=118.84
Last column: nearest neighbours and their distance in Å.
Fractional coordinates of all 12 atoms:
Ba1 0.1085 0.8915 0.7500  10 Au 3.26-3.65
Ba2 0.8915 0.1085 0.2500  10 Au 3.26-3.65
Be1 0.4551 0.5449 0.7500  6 Au 2.34-2.43
Be2 0.5449 0.4551 0.2500  6 Au 2.34-2.43
Au1 0.0419 0.3685 0.7488  1 Be 2.39
Au2 0.3685 0.0419 0.2488  1 Be 2.39
Au3 0.3691 0.6304 0.0525  2 Be 2.34-2.43
Au4 0.3696 0.6309 0.4475  2 Be 2.34-2.43
Au5 0.6304 0.3691 0.5525  2 Be 2.34-2.43
Au6 0.6309 0.3696 0.9475  2 Be 2.34-2.43
Au7 0.6315 0.9581 0.7512  1 Be 2.39
Au8 0.9581 0.6315 0.2512  1 Be 2.39

Values from the calculation:
ΔE to the lowest computed polymorph, meV/atom: 0
Energy relative to the elements, kJ/mol of formula units: -249

=====

Values of volume, in order: 437.2 165.5 294.0 195.6 350.0 99.3 365.2 196.2 162.8 268.6, all in Å³/cell.